Version A
Here is an optimized crystal structure of LaAs2Cl from Alexandria via LeMat-Bulk. Energies are from PBE-GGA.

a b c (Å): 6.138 6.138 4.324
angles (deg): 105.68 105.68 37.08
Fractional coordinates of all 4 atoms:
La: 0.000 0.000 0.000
As: 0.254 0.254 0.813
As: 0.746 0.746 0.187
Cl: 0.500 0.500 0.500


Version B
Here is an optimized crystal structure of LaAs2Cl from Alexandria via LeMat-Bulk. Energies are from PBE-GGA.

a b c (Å): 5.165 5.165 5.165
angles (deg): 60.00 60.00 60.00
Fractional coordinates of all 4 atoms:
La: 0.000 0.000 0.000
As: 0.250 0.250 0.250
As: 0.750 0.750 0.750
Cl: 0.500 0.500 0.500


Stability summary - winner: version A; margin: 0.868 eV/atom.


Version A
Here is an optimized crystal structure of LaAs2Cl from Alexandria via LeMat-Bulk. Energies are from PBE-GGA.

a b c (Å): 4.471 4.471 7.536
angles (deg): 105.51 105.51 58.41
Fractional coordinates of all 4 atoms:
La: 0.000 0.000 0.000
As: 0.248 0.248 0.750
As: 0.536 0.536 0.681
Cl: 0.735 0.735 0.215


Version B
Here is an optimized crystal structure of LaAs2Cl from Alexandria via LeMat-Bulk. Energies are from PBE-GGA.

a b c (Å): 3.645 3.645 7.924
angles (deg): 90.00 90.00 90.00
Fractional coordinates of all 4 atoms:
La: 0.000 0.000 0.000
As: 0.000 0.000 0.375
As: 0.500 0.500 0.261
Cl: 0.500 0.500 0.804


Version C
Here is an optimized crystal structure of LaAs2Cl from Alexandria via LeMat-Bulk. Energies are from PBE-GGA.

a b c (Å): 4.015 4.015 5.610
angles (deg): 90.00 90.00 90.00
Fractional coordinates of all 4 atoms:
La: 0.000 0.000 0.000
As: 0.000 0.500 0.500
As: 0.500 0.000 0.500
Cl: 0.500 0.500 0.000


Version D
Here is an optimized crystal structure of LaAs2Cl from Alexandria via LeMat-Bulk. Energies are from PBE-GGA.

a b c (Å): 9.501 9.501 9.501
angles (deg): 21.04 21.04 21.04
Fractional coordinates of all 4 atoms:
La: 0.000 0.000 0.000
As: 0.246 0.246 0.246
As: 0.754 0.754 0.754
Cl: 0.500 0.500 0.500


Stability summary - winner: version C; margin: 0.027 eV/atom.


Version A
Here is an optimized crystal structure of La4AsCl5 from Alexandria via LeMat-Bulk. Energies are from PBE-GGA.

a b c (Å): 9.448 9.448 8.525
angles (deg): 103.95 103.95 25.67
Fractional coordinates of all 10 atoms:
La: 0.000 0.000 0.235
La: 0.000 0.000 0.765
La: 0.341 0.341 0.907
La: 0.659 0.659 0.093
As: 0.500 0.500 0.000
Cl: 0.166 0.166 0.332
Cl: 0.170 0.170 0.850
Cl: 0.500 0.500 0.500
Cl: 0.830 0.830 0.150
Cl: 0.834 0.834 0.668


Version B
Here is an optimized crystal structure of La4AsCl5 from Alexandria via LeMat-Bulk. Energies are from PBE-GGA.

a b c (Å): 9.124 9.765 6.945
angles (deg): 90.00 90.00 90.00
Fractional coordinates of all 20 atoms:
La: 0.045 0.250 0.026
La: 0.250 0.011 0.609
La: 0.250 0.489 0.609
La: 0.455 0.250 0.026
La: 0.545 0.750 0.974
La: 0.750 0.511 0.391
La: 0.750 0.989 0.391
La: 0.955 0.750 0.974
As: 0.250 0.750 0.798
As: 0.750 0.250 0.202
Cl: 0.048 0.542 0.253
Cl: 0.048 0.958 0.253
Cl: 0.250 0.250 0.348
Cl: 0.452 0.542 0.253
Cl: 0.452 0.958 0.253
Cl: 0.548 0.042 0.747
Cl: 0.548 0.458 0.747
Cl: 0.750 0.750 0.652
Cl: 0.952 0.042 0.747
Cl: 0.952 0.458 0.747


Stability summary - winner: version A; margin: 0.191 eV/atom.


Version A
Here is an optimized crystal structure of LaAsP2Cl from Alexandria via LeMat-Bulk. Energies are from PBE-GGA.

a b c (Å): 5.637 5.637 5.252
angles (deg): 90.00 90.00 90.00
Fractional coordinates of all 5 atoms:
La: 0.000 0.000 0.000
As: 0.500 0.500 0.500
P: 0.000 0.500 0.000
P: 0.500 0.000 0.000
Cl: 0.000 0.000 0.500


Version B
Here is an optimized crystal structure of LaAsP2Cl from Alexandria via LeMat-Bulk. Energies are from PBE-GGA.

a b c (Å): 4.823 4.823 4.924
angles (deg): 90.00 90.00 90.00
Fractional coordinates of all 5 atoms:
La: 0.000 0.000 0.000
As: 0.500 0.500 0.500
P: 0.000 0.500 0.500
P: 0.500 0.000 0.500
Cl: 0.500 0.500 0.000


Stability summary - winner: version B; margin: 0.819 eV/atom.


Version A
Here is an optimized crystal structure of LaAs2SeCl from Alexandria via LeMat-Bulk. Energies are from PBE-GGA.

a b c (Å): 5.911 5.911 5.624
angles (deg): 90.00 90.00 90.00
Fractional coordinates of all 5 atoms:
La: 0.000 0.000 0.000
As: 0.000 0.500 0.000
As: 0.500 0.000 0.000
Se: 0.000 0.000 0.500
Cl: 0.500 0.500 0.500


Version B
Here is an optimized crystal structure of LaAs2SeCl from Alexandria via LeMat-Bulk. Energies are from PBE-GGA.

a b c (Å): 4.887 4.887 5.230
angles (deg): 90.00 90.00 90.00
Fractional coordinates of all 5 atoms:
La: 0.000 0.000 0.000
As: 0.000 0.500 0.500
As: 0.500 0.000 0.500
Se: 0.500 0.500 0.000
Cl: 0.500 0.500 0.500


Stability summary - winner: version B; margin: 0.457 eV/atom.


Version A
Here is an optimized crystal structure of Li2AsCl from Alexandria via LeMat-Bulk. Energies are from PBE-GGA.

a b c (Å): 7.625 7.625 7.625
angles (deg): 156.46 156.41 33.57
Fractional coordinates of all 4 atoms:
Li: 0.000 0.000 0.000
Li: 0.712 0.212 0.500
As: 0.335 0.835 0.500
Cl: 0.580 0.580 0.000


Version B
Here is an optimized crystal structure of Li2AsCl from Alexandria via LeMat-Bulk. Energies are from PBE-GGA.

a b c (Å): 3.055 3.055 7.258
angles (deg): 90.00 90.00 90.00
Fractional coordinates of all 4 atoms:
Li: 0.000 0.000 0.217
Li: 0.000 0.000 0.783
As: 0.500 0.500 0.500
Cl: 0.500 0.500 0.000


Version C
Here is an optimized crystal structure of Li2AsCl from Alexandria via LeMat-Bulk. Energies are from PBE-GGA.

a b c (Å): 7.566 7.566 7.566
angles (deg): 24.94 24.94 24.94
Fractional coordinates of all 4 atoms:
Li: 0.237 0.237 0.237
Li: 0.763 0.763 0.763
As: 0.000 0.000 0.000
Cl: 0.500 0.500 0.500


Version D
Here is an optimized crystal structure of Li2AsCl from Alexandria via LeMat-Bulk. Energies are from PBE-GGA.

a b c (Å): 4.798 4.798 4.798
angles (deg): 60.00 60.00 60.00
Fractional coordinates of all 4 atoms:
Li: 0.250 0.250 0.250
Li: 0.750 0.750 0.750
As: 0.000 0.000 0.000
Cl: 0.500 0.500 0.500


Stability summary - winner: version C; margin: 0.033 eV/atom.


Version A
Here is an optimized crystal structure of Li2As2Cl from Alexandria via LeMat-Bulk. Energies are from PBE-GGA.

a b c (Å): 7.589 7.589 3.665
angles (deg): 90.00 90.00 90.00
Fractional coordinates of all 10 atoms:
Li: 0.190 0.310 0.000
Li: 0.310 0.810 0.000
Li: 0.690 0.190 0.000
Li: 0.810 0.690 0.000
As: 0.104 0.604 0.500
As: 0.396 0.104 0.500
As: 0.604 0.896 0.500
As: 0.896 0.396 0.500
Cl: 0.000 0.000 0.500
Cl: 0.500 0.500 0.500


Version B
Here is an optimized crystal structure of Li2As2Cl from Alexandria via LeMat-Bulk. Energies are from PBE-GGA.

a b c (Å): 5.683 5.683 5.683
angles (deg): 126.06 126.06 79.79
Fractional coordinates of all 5 atoms:
Li: 0.250 0.750 0.500
Li: 0.750 0.250 0.500
As: 0.127 0.127 0.000
As: 0.873 0.873 0.000
Cl: 0.500 0.500 0.000


Stability summary - winner: version A; margin: 0.168 eV/atom.


Version A
Here is an optimized crystal structure of LiAsCl4 from Alexandria via LeMat-Bulk. Energies are from PBE-GGA.

a b c (Å): 6.487 6.494 10.645
angles (deg): 90.00 90.00 90.00
Fractional coordinates of all 12 atoms:
Li: 0.000 0.000 0.000
Li: 0.500 0.000 0.500
As: 0.000 0.000 0.500
As: 0.000 0.500 0.000
Cl: 0.200 0.253 0.114
Cl: 0.200 0.747 0.886
Cl: 0.248 0.197 0.616
Cl: 0.248 0.803 0.384
Cl: 0.752 0.197 0.384
Cl: 0.752 0.803 0.616
Cl: 0.800 0.253 0.886
Cl: 0.800 0.747 0.114


Version B
Here is an optimized crystal structure of LiAsCl4 from Alexandria via LeMat-Bulk. Energies are from PBE-GGA.

a b c (Å): 3.869 6.538 6.827
angles (deg): 86.89 73.62 89.98
Fractional coordinates of all 6 atoms:
Li: 0.000 0.000 0.000
As: 0.545 0.500 0.000
Cl: 0.040 0.367 0.772
Cl: 0.415 0.163 0.198
Cl: 0.612 0.837 0.803
Cl: 0.813 0.633 0.228


Version C
Here is an optimized crystal structure of LiAsCl4 from Alexandria via LeMat-Bulk. Energies are from PBE-GGA.

a b c (Å): 6.026 6.026 6.026
angles (deg): 60.00 60.00 60.00
Fractional coordinates of all 6 atoms:
Li: 0.000 0.000 0.000
As: 0.750 0.750 0.750
Cl: 0.375 0.375 0.375
Cl: 0.375 0.375 0.874
Cl: 0.375 0.874 0.375
Cl: 0.874 0.375 0.375


Stability summary - winner: version B; margin: 0.087 eV/atom.


Version A
Here is an optimized crystal structure of LiAs3Cl from Alexandria via LeMat-Bulk. Energies are from PBE-GGA.

a b c (Å): 4.660 4.660 4.660
angles (deg): 90.00 90.00 90.00
Fractional coordinates of all 5 atoms:
Li: 0.000 0.000 0.000
As: 0.000 0.000 0.500
As: 0.000 0.500 0.000
As: 0.500 0.000 0.000
Cl: 0.500 0.500 0.500


Version B
Here is an optimized crystal structure of LiAs3Cl from Alexandria via LeMat-Bulk. Energies are from PBE-GGA.

a b c (Å): 4.969 4.969 4.969
angles (deg): 90.00 90.00 90.00
Fractional coordinates of all 5 atoms:
Li: 0.000 0.000 0.000
As: 0.000 0.500 0.500
As: 0.500 0.000 0.500
As: 0.500 0.500 0.000
Cl: 0.500 0.500 0.500


Stability summary - winner: version A; margin: 0.213 eV/atom.


Version A
Here is an optimized crystal structure of LiAs2SeCl from Alexandria via LeMat-Bulk. Energies are from PBE-GGA.

a b c (Å): 4.792 4.792 4.473
angles (deg): 90.00 90.00 90.00
Fractional coordinates of all 5 atoms:
Li: 0.000 0.000 0.000
As: 0.000 0.500 0.000
As: 0.500 0.000 0.000
Se: 0.000 0.000 0.500
Cl: 0.500 0.500 0.500


Version B
Here is an optimized crystal structure of LiAs2SeCl from Alexandria via LeMat-Bulk. Energies are from PBE-GGA.

a b c (Å): 4.893 4.893 5.364
angles (deg): 90.00 90.00 90.00
Fractional coordinates of all 5 atoms:
Li: 0.000 0.000 0.000
As: 0.000 0.500 0.500
As: 0.500 0.000 0.500
Se: 0.500 0.500 0.000
Cl: 0.500 0.500 0.500


Stability summary - winner: version A; margin: 0.211 eV/atom.


Version A
Here is an optimized crystal structure of MgAs3Cl from Alexandria via LeMat-Bulk. Energies are from PBE-GGA.

a b c (Å): 5.017 5.017 5.017
angles (deg): 90.00 90.00 90.00
Fractional coordinates of all 5 atoms:
Mg: 0.000 0.000 0.000
As: 0.000 0.000 0.500
As: 0.000 0.500 0.000
As: 0.500 0.000 0.000
Cl: 0.500 0.500 0.500


Version B
Here is an optimized crystal structure of MgAs3Cl from Alexandria via LeMat-Bulk. Energies are from PBE-GGA.

a b c (Å): 4.909 4.909 4.909
angles (deg): 90.00 90.00 90.00
Fractional coordinates of all 5 atoms:
Mg: 0.000 0.000 0.000
As: 0.000 0.500 0.500
As: 0.500 0.000 0.500
As: 0.500 0.500 0.000
Cl: 0.500 0.500 0.500


Stability summary - winner: version A; margin: 0.110 eV/atom.